Material: KDyHg2Cl8
Method: DFT, GGA-PBE
State: relaxed

The electronic total energy is -37.4 eV per cell. The value obtained for the formation energy without anion corrections is -16.330 eV/f.u.

The structure belongs to space group P-1 (No. 2); the cell edges are 6.663, 6.781 and 8.900 Å and the angles 82.14°, 75.44° and 87.81°. The inequivalent atoms are K at (0.000, 0.000, 0.000), Dy at (0.000, 0.000, 0.500), Hg at (0.468, 0.477, 0.236), Cl at (0.203, 0.820, 0.695), Cl at (0.240, 0.333, 0.477), Cl at (0.251, 0.861, 0.259) and Cl at (0.269, 0.389, 0.986).

Material: ReTcIr3
Method: DFT, GGA-PBE
State: relaxed

The electronic total energy is -200.0 eV per cell. The offset from the most stable computed form is 0.0 meV/atom.

The structure belongs to space group C2/m (No. 12); the cell edges are 13.889, 3.897 and 5.493 Å and the angles 90.00°, 101.18° and 90.00°. The inequivalent atoms are Re at (0.200, 0.000, 0.343), Tc at (0.101, 0.500, 0.548), Ir at (0.003, 0.000, 0.257), Ir at (0.101, 0.500, 0.057) and Ir at (0.199, 0.000, 0.846).

Material: Be2Tl2S
Method: DFT, GGA-PBE
State: relaxed

The electronic total energy is -25.8 eV per cell. The offset from the most stable computed form is 195.5 meV/atom. The value obtained for the formation energy without anion corrections is 3.389 eV/f.u.

The structure belongs to space group P4/mbm (No. 127); the cell edges are 7.963, 7.963 and 3.069 Å and the angles 90.00°, 90.00° and 90.00°. The inequivalent atoms are Be at (0.094, 0.406, 0.000), Tl at (0.206, 0.706, 0.500) and S at (0.000, 0.000, 0.500).

> The lowest electronic total energy belongs to which entry?

ReTcIr3

Copy entry 2 word for word.
Material: ReTcIr3
Method: DFT, GGA-PBE
State: relaxed

The electronic total energy is -200.0 eV per cell. The offset from the most stable computed form is 0.0 meV/atom.

The structure belongs to space group C2/m (No. 12); the cell edges are 13.889, 3.897 and 5.493 Å and the angles 90.00°, 101.18° and 90.00°. The inequivalent atoms are Re at (0.200, 0.000, 0.343), Tc at (0.101, 0.500, 0.548), Ir at (0.003, 0.000, 0.257), Ir at (0.101, 0.500, 0.057) and Ir at (0.199, 0.000, 0.846).

> Look up the electronic total energy of the second one.

-200.0 eV per cell

Copy entry 2 word for word.
Material: ReTcIr3
Method: DFT, GGA-PBE
State: relaxed

The electronic total energy is -200.0 eV per cell. The offset from the most stable computed form is 0.0 meV/atom.

The structure belongs to space group C2/m (No. 12); the cell edges are 13.889, 3.897 and 5.493 Å and the angles 90.00°, 101.18° and 90.00°. The inequivalent atoms are Re at (0.200, 0.000, 0.343), Tc at (0.101, 0.500, 0.548), Ir at (0.003, 0.000, 0.257), Ir at (0.101, 0.500, 0.057) and Ir at (0.199, 0.000, 0.846).